Record 1
# MgPN2F

MgPN2F at its PBEsol-relaxed geometry (meta-GGA SCAN, Alexandria via LeMat-Bulk).

## Properties
DFT total energy	-34.51	eV for the cell shown
symmetry	No. 123
ΔE_f (raw)	0.60	eV per atom

a = 4.085 Å, b = 4.085 Å, c = 3.551 Å
α = 90.00°, β = 90.00°, γ = 90.00°
Fractional coordinates of all 5 atoms:
Mg: 0.000 0.000 0.000
P: 0.500 0.500 0.500
N: 0.000 0.500 0.000
N: 0.500 0.000 0.000
F: 0.000 0.000 0.500

=====

Record 2
# Pt3Au4

Pt3Au4 at its PBEsol-relaxed geometry (meta-GGA SCAN, Alexandria via LeMat-Bulk).

## Properties
DFT total energy	-486.46	eV for the cell shown
symmetry	No. 139

a = 10.274 Å, b = 10.274 Å, c = 10.274 Å
α = 161.13°, β = 161.13°, γ = 26.82°
Fractional coordinates of all 7 atoms:
Pt: 0.000 0.000 0.000
Pt: 0.283 0.283 0.000
Pt: 0.717 0.717 0.000
Au: 0.144 0.144 0.000
Au: 0.428 0.428 0.000
Au: 0.572 0.572 0.000
Au: 0.856 0.856 0.000

=====

Record 3
# InAgW

InAgW at its PBEsol-relaxed geometry (meta-GGA SCAN, Alexandria via LeMat-Bulk).

## Properties
DFT total energy	-130.33	eV for the cell shown
relative energy among the computed polymorphs	822	meV/atom
symmetry	No. 216

a = 4.478 Å, b = 4.478 Å, c = 4.478 Å
α = 60.00°, β = 60.00°, γ = 60.00°
Fractional coordinates of all 3 atoms:
In: 0.000 0.000 0.000
Ag: 0.500 0.500 0.500
W: 0.250 0.250 0.250

=====

Record 4
# LaNi2As2

LaNi2As2 at its PBEsol-relaxed geometry (meta-GGA SCAN, Alexandria via LeMat-Bulk).

## Properties
DFT total energy	-120.39	eV for the cell shown
symmetry	No. 139

a = 5.752 Å, b = 5.752 Å, c = 5.752 Å
α = 138.26°, β = 138.26°, γ = 60.51°
Fractional coordinates of all 5 atoms:
La: 0.000 0.000 0.000
Ni: 0.250 0.750 0.500
Ni: 0.750 0.250 0.500
As: 0.366 0.366 0.000
As: 0.634 0.634 0.000

=====

Record 5
# BeTlMo2

BeTlMo2 at its PBEsol-relaxed geometry (meta-GGA SCAN, Alexandria via LeMat-Bulk).

## Properties
DFT total energy	-144.44	eV for the cell shown
relative energy among the computed polymorphs	0	meV/atom
symmetry	No. 35

a = 2.851 Å, b = 2.851 Å, c = 8.416 Å
α = 90.00°, β = 90.00°, γ = 110.88°
Fractional coordinates of all 4 atoms:
Be: 0.000 0.000 0.000
Tl: 0.500 0.500 0.256
Mo: 0.000 0.000 0.549
Mo: 0.500 0.500 0.790

=====

Record 6
# NaNiO2

NaNiO2 at its PBEsol-relaxed geometry (meta-GGA SCAN, Alexandria via LeMat-Bulk).

## Properties
DFT total energy	-77.58	eV for the cell shown
symmetry	No. 14
ΔE_f (raw)	-1.49	eV per atom

a = 5.387 Å, b = 3.004 Å, c = 5.033 Å
α = 90.00°, β = 106.97°, γ = 90.00°
Fractional coordinates of all 8 atoms:
Na: 0.000 0.000 0.000
Na: 0.000 0.500 0.500
Ni: 0.500 0.000 0.500
Ni: 0.500 0.500 0.000
O: 0.310 0.042 0.765
O: 0.310 0.458 0.265
O: 0.690 0.542 0.735
O: 0.690 0.958 0.235

=====

Record 7
# LiYAl2Fe

LiYAl2Fe at its PBEsol-relaxed geometry (meta-GGA SCAN, Alexandria via LeMat-Bulk).

## Properties
DFT total energy	-63.25	eV for the cell shown
symmetry	No. 123

a = 4.393 Å, b = 4.393 Å, c = 4.377 Å
α = 90.00°, β = 90.00°, γ = 90.00°
Fractional coordinates of all 5 atoms:
Li: 0.000 0.000 0.000
Y: 0.500 0.500 0.500
Al: 0.000 0.500 0.000
Al: 0.500 0.000 0.000
Fe: 0.000 0.000 0.500

=====

Record 8
# AlZnAu

AlZnAu at its PBEsol-relaxed geometry (meta-GGA SCAN, Alexandria via LeMat-Bulk).

## Properties
DFT total energy	-91.02	eV for the cell shown
symmetry	No. 107

a = 6.072 Å, b = 6.072 Å, c = 6.072 Å
α = 152.75°, β = 152.75°, γ = 38.92°
Fractional coordinates of all 3 atoms:
Al: 0.000 0.000 0.000
Zn: 0.335 0.335 0.000
Au: 0.662 0.662 0.000

=====

Record 9
# CaCuO2

CaCuO2 at its PBEsol-relaxed geometry (meta-GGA SCAN, Alexandria via LeMat-Bulk).

## Properties
DFT total energy	-90.15	eV for the cell shown
symmetry	No. 65
ΔE_f (raw)	-1.94	eV per atom

a = 5.676 Å, b = 5.676 Å, c = 3.097 Å
α = 90.00°, β = 90.00°, γ = 108.24°
Fractional coordinates of all 8 atoms:
Ca: 0.000 0.500 0.000
Ca: 0.500 0.000 0.000
Cu: 0.000 0.000 0.500
Cu: 0.500 0.500 0.500
O: 0.202 0.798 0.500
O: 0.320 0.320 0.000
O: 0.680 0.680 0.000
O: 0.798 0.202 0.500

=====

Record 10
# AlNiRh2

AlNiRh2 at its PBEsol-relaxed geometry (meta-GGA SCAN, Alexandria via LeMat-Bulk).

## Properties
DFT total energy	-92.83	eV for the cell shown
symmetry	No. 10

a = 2.665 Å, b = 4.239 Å, c = 4.598 Å
α = 90.00°, β = 92.63°, γ = 90.00°
Fractional coordinates of all 4 atoms:
Al: 0.000 0.000 0.000
Ni: 0.500 0.000 0.500
Rh: 0.260 0.500 0.744
Rh: 0.740 0.500 0.256

=====

Record 11
# YMgCd

YMgCd at its PBEsol-relaxed geometry (meta-GGA SCAN, Alexandria via LeMat-Bulk).

## Properties
DFT total energy	-64.00	eV for the cell shown
symmetry	No. 107

a = 6.858 Å, b = 6.858 Å, c = 6.858 Å
α = 151.83°, β = 151.83°, γ = 40.27°
Fractional coordinates of all 3 atoms:
Y: 0.000 0.000 0.000
Mg: 0.312 0.312 0.000
Cd: 0.667 0.667 0.000

=====

Record 12
# Tl2Se

Tl2Se at its PBEsol-relaxed geometry (meta-GGA SCAN, Alexandria via LeMat-Bulk).

## Properties
DFT total energy	-497.13	eV for the cell shown
relative energy among the computed polymorphs	87	meV/atom
symmetry	No. 189
ΔE_f (raw)	-0.31	eV per atom

a = 8.046 Å, b = 8.046 Å, c = 4.694 Å
α = 90.00°, β = 90.00°, γ = 120.00°
Fractional coordinates of all 9 atoms:
Tl: 0.000 0.412 0.000
Tl: 0.000 0.740 0.500
Tl: 0.260 0.260 0.500
Tl: 0.412 0.000 0.000
Tl: 0.588 0.588 0.000
Tl: 0.740 0.000 0.500
Se: 0.000 0.000 0.000
Se: 0.333 0.667 0.500
Se: 0.667 0.333 0.500

=====

Record 13
# Re2PdCN

Re2PdCN at its PBEsol-relaxed geometry (meta-GGA SCAN, Alexandria via LeMat-Bulk).

## Properties
DFT total energy	-176.85	eV for the cell shown
symmetry	No. 123
ΔE_f (raw)	3.50	eV per atom

a = 4.870 Å, b = 4.870 Å, c = 3.488 Å
α = 90.00°, β = 90.00°, γ = 90.00°
Fractional coordinates of all 5 atoms:
Re: 0.000 0.500 0.000
Re: 0.500 0.000 0.000
Pd: 0.000 0.000 0.000
C: 0.500 0.500 0.500
N: 0.000 0.000 0.500

=====

Record 14
# MnReP2

MnReP2 at its PBEsol-relaxed geometry (meta-GGA SCAN, Alexandria via LeMat-Bulk).

## Properties
DFT total energy	-219.21	eV for the cell shown
relative energy among the computed polymorphs	0	meV/atom
symmetry	No. 122

a = 7.795 Å, b = 7.795 Å, c = 7.795 Å
α = 151.04°, β = 151.04°, γ = 41.41°
Fractional coordinates of all 8 atoms:
Mn: 0.000 0.000 0.000
Mn: 0.750 0.250 0.500
Re: 0.250 0.750 0.500
Re: 0.500 0.500 0.000
P: 0.085 0.625 0.960
P: 0.375 0.335 0.460
P: 0.665 0.125 0.040
P: 0.875 0.915 0.540

=====

Record 15
# ReAuCl2

ReAuCl2 at its PBEsol-relaxed geometry (meta-GGA SCAN, Alexandria via LeMat-Bulk).

## Properties
DFT total energy	-155.31	eV for the cell shown
relative energy among the computed polymorphs	0	meV/atom
symmetry	No. 166
ΔE_f (raw)	0.22	eV per atom

a = 11.233 Å, b = 11.233 Å, c = 11.233 Å
α = 14.49°, β = 14.49°, γ = 14.49°
Fractional coordinates of all 4 atoms:
Re: 0.000 0.000 0.000
Au: 0.500 0.500 0.500
Cl: 0.067 0.067 0.067
Cl: 0.933 0.933 0.933

=====

Record 16
# MoIrRh2

MoIrRh2 at its PBEsol-relaxed geometry (meta-GGA SCAN, Alexandria via LeMat-Bulk).

## Properties
DFT total energy	-174.39	eV for the cell shown
relative energy among the computed polymorphs	44	meV/atom
symmetry	No. 25

a = 2.719 Å, b = 4.333 Å, c = 4.731 Å
α = 90.00°, β = 90.00°, γ = 90.00°
Fractional coordinates of all 4 atoms:
Mo: 0.000 0.000 0.000
Ir: 0.000 0.500 0.328
Rh: 0.500 0.000 0.495
Rh: 0.500 0.500 0.825

=====

Record 17
# CuReOs

CuReOs at its PBEsol-relaxed geometry (meta-GGA SCAN, Alexandria via LeMat-Bulk).

## Properties
DFT total energy	-156.08	eV for the cell shown
relative energy among the computed polymorphs	0	meV/atom
symmetry	No. 216

a = 4.085 Å, b = 4.085 Å, c = 4.085 Å
α = 60.00°, β = 60.00°, γ = 60.00°
Fractional coordinates of all 3 atoms:
Cu: 0.000 0.000 0.000
Re: 0.750 0.750 0.750
Os: 0.500 0.500 0.500

=====

Record 18
# La2Ru

La2Ru at its PBEsol-relaxed geometry (meta-GGA SCAN, Alexandria via LeMat-Bulk).

## Properties
DFT total energy	-243.77	eV for the cell shown
symmetry	No. 63

a = 6.324 Å, b = 6.324 Å, c = 6.761 Å
α = 90.00°, β = 90.00°, γ = 144.16°
Fractional coordinates of all 6 atoms:
La: 0.000 0.000 0.000
La: 0.000 0.000 0.500
La: 0.278 0.722 0.750
La: 0.722 0.278 0.250
Ru: 0.384 0.616 0.250
Ru: 0.616 0.384 0.750

=====

Record 19
# TaHgRu2

TaHgRu2 at its PBEsol-relaxed geometry (meta-GGA SCAN, Alexandria via LeMat-Bulk).

## Properties
DFT total energy	-204.83	eV for the cell shown
symmetry	No. 123

a = 3.133 Å, b = 3.133 Å, c = 6.521 Å
α = 90.00°, β = 90.00°, γ = 90.00°
Fractional coordinates of all 4 atoms:
Ta: 0.000 0.000 0.000
Hg: 0.000 0.000 0.500
Ru: 0.500 0.500 0.226
Ru: 0.500 0.500 0.774

=====

Record 20
# MnBi3Pb

MnBi3Pb at its PBEsol-relaxed geometry (meta-GGA SCAN, Alexandria via LeMat-Bulk).

## Properties
DFT total energy	-324.40	eV for the cell shown
symmetry	No. 221

a = 5.795 Å, b = 5.795 Å, c = 5.795 Å
α = 90.00°, β = 90.00°, γ = 90.00°
Fractional coordinates of all 5 atoms:
Mn: 0.000 0.000 0.000
Bi: 0.000 0.500 0.500
Bi: 0.500 0.000 0.500
Bi: 0.500 0.500 0.000
Pb: 0.500 0.500 0.500